1.
Here is AcPrUN4 after structural relaxation from the Alexandria database. Energies are from GGA-PBE.

Calculated values
- formation energy from raw total energies (eV per atom) = -1.29
- spin magnetization (μB/f.u.) = 0.00
- electronic total energy (eV/cell) = -125.01
- mass density (Mg/m³) = 9.15

a b c (Å): 7.243 7.243 6.045
angles (deg): 90.00 90.00 130.74
Sites, in units of the cell vectors:
Ac: 0.102 0.898 0.750
Ac: 0.898 0.102 0.250
Pr: 0.399 0.601 0.750
Pr: 0.601 0.399 0.250
U: 0.252 0.748 0.250
U: 0.748 0.252 0.750
N: 0.000 0.500 0.000
N: 0.000 0.500 0.500
N: 0.085 0.915 0.250
N: 0.422 0.578 0.250
N: 0.500 0.000 0.000
N: 0.500 0.000 0.500
N: 0.578 0.422 0.750
N: 0.915 0.085 0.750


2.
Here is TaAlCrW after structural relaxation from the Alexandria database. Energies are from GGA-PBE.

Calculated values
- formation enthalpy at 0 K (eV per formula unit) = 0.217
- Fermi-level density of states (states/eV per atom) = 0.794
- spin magnetization (μB/f.u.) = 2.02
- electronic total energy (eV/cell) = -37.96
- mass density (Mg/m³) = 11.82

a b c (Å): 4.451 4.451 4.451
angles (deg): 60.00 60.00 60.00
Sites, in units of the cell vectors:
Ta: 0.000 0.000 0.000
Al: 0.500 0.500 0.500
Cr: 0.250 0.250 0.250
W: 0.750 0.750 0.750


3.
Here is Pu2NpCo3H12 after structural relaxation from the Alexandria database. Energies are from GGA-PBE.

Calculated values
- Fermi-level density of states (states/eV per atom) = 1.375
- spin magnetization (μB/f.u.) = 18.88
- electronic total energy (eV/cell) = -105.90
- mass density (Mg/m³) = 9.87

a b c (Å): 6.040 6.040 6.040
angles (deg): 59.42 59.42 59.42
Sites, in units of the cell vectors:
Pu: 0.106 0.106 0.106
Pu: 0.894 0.894 0.894
Np: 0.500 0.500 0.500
Co: 0.000 0.500 0.500
Co: 0.500 0.000 0.500
Co: 0.500 0.500 0.000
H: 0.045 0.640 0.640
H: 0.228 0.228 0.635
H: 0.228 0.635 0.228
H: 0.360 0.360 0.955
H: 0.360 0.955 0.360
H: 0.365 0.772 0.772
H: 0.635 0.228 0.228
H: 0.640 0.045 0.640
H: 0.640 0.640 0.045
H: 0.772 0.365 0.772
H: 0.772 0.772 0.365
H: 0.955 0.360 0.360


4.
Here is Ca3PbF after structural relaxation from the Alexandria database. Energies are from GGA-PBE.

Calculated values
- formation energy from raw total energies (eV per atom) = -0.54
- Fermi-level density of states (states/eV per atom) = 0.436
- spin magnetization (μB/f.u.) = 0.00
- electronic total energy (eV/cell) = -14.30
- mass density (Mg/m³) = 2.62

a b c (Å): 6.031 6.031 6.031
angles (deg): 90.00 90.00 90.00
Sites, in units of the cell vectors:
Ca: 0.000 0.000 0.500
Ca: 0.000 0.500 0.000
Ca: 0.500 0.000 0.000
Pb: 0.000 0.000 0.000
F: 0.500 0.500 0.500